No. 1
PBE-GGA PuMgTe, relaxed; SG = C2/m, No. 12; formation energy without anion corrections = -1.1 eV/f.u.
1.0
3.9155 0.0000 0.0000
-1.9577 5.4394 -0.5492
0.0000 -2.9311 8.2914
Te Mg Pu
2 2 2
direct
0.9089 0.8178 0.7409
0.0911 0.1822 0.2591
0.3718 0.7436 0.0503
0.6282 0.2564 0.9497
0.8398 0.6795 0.3559
0.1602 0.3205 0.6441

=====

No. 2
PBE-GGA Pu2MgTl3Te6, relaxed; SG = C2/m, No. 12; formation energy without anion corrections = -8.3 eV/f.u.
1.0
7.6771 -0.0007 -0.0008
-3.8373 6.6493 -0.0008
-1.2814 -2.2188 8.1192
Pu Mg Tl Te
2 1 3 6
direct
0.3337 0.6663 0.0000
0.6663 0.3337 0.0000
0.0000 0.0000 0.0000
0.1698 0.8302 0.5000
0.8302 0.1698 0.5000
0.5000 0.5000 0.5000
0.9301 0.6011 0.7899
0.7412 0.7412 0.2113
0.0699 0.3989 0.2101
0.6011 0.9301 0.7899
0.2588 0.2588 0.7887
0.3989 0.0699 0.2101

=====

No. 3
PBE-GGA PuThMg, relaxed; polymorph energy (0 for the lowest one) = 0.000 eV per atom; SG = I4mm, No. 107; DFT formation energy = 0.49 eV/f.u.
1.0
-2.8657 1.5126 0.6487
-1.5516 -2.0486 -2.0776
0.9363 -4.6151 6.4798
Mg Th Pu
1 1 1
direct
0.2859 0.2859 0.5718
0.6174 0.6174 0.2349
0.9467 0.9467 0.8934

=====

No. 4
PBE-GGA Pu2ThMg, relaxed; polymorph energy (0 for the lowest one) = 0.178 eV per atom; SG = R-3m, No. 166; DFT formation energy = 1.42 eV/f.u.
1.0
3.3684 0.0000 0.0000
1.6842 2.9171 0.0000
1.6842 0.9724 11.9747
Mg Th Pu
1 1 2
direct
0.0000 0.0000 0.0000
0.5000 0.5000 0.5000
0.0901 0.0901 0.7297
0.9099 0.9099 0.2703

=====

| no. | M_tot (μB/atom) |
| --- | --- |
| 1 | 2.19 |
| 2 | 0.76 |
| 3 | 1.99 |
| 4 | 2.89 |